Crystalline Sr2BeIn at its relaxed geometry. Source: Alexandria via LeMat-Bulk, functional PBE.

Cell: 6.0251 6.0251 6.0251 Å, 131.76 131.76 70.60°
Sites, in units of the cell vectors:
1 Sr 0.0000 0.0000 0.0000
2 Sr 0.2500 0.7500 0.5000
3 Be 0.5000 0.5000 0.0000
4 In 0.7500 0.2500 0.5000

## Properties
Fermi-level density of states in states/eV per cell: 2.6
DFT formation energy in meV per atom: 275
ρ in g/cm3: 4.2
Volume in Å³/cell: 119.2
Offset from the most stable computed form in meV per atom: 310